A plane-wave DFT calculation with PBE-GGA was carried out for an optimized crystal structure of Sc3Ag5H12.

Output
As for the symmetry: Ia-3d. Its calculated density is 5.640 g cm⁻³. Its energy is -3.76 eV/atom.

Cell lengths 10.164, 10.164, 10.164 Å; angles 109.47, 109.47, 109.47 degrees
Atoms (fractional coordinates):
1 Sc 0.750 0.375 0.125
2 Sc 0.875 0.750 0.125
3 Sc 0.375 0.750 0.625
4 Sc 0.250 0.125 0.375
5 Sc 0.875 0.125 0.250
6 Sc 0.375 0.625 0.250
7 Sc 0.625 0.375 0.750
8 Sc 0.125 0.875 0.750
9 Sc 0.750 0.875 0.625
10 Sc 0.625 0.250 0.375
11 Sc 0.125 0.250 0.875
12 Sc 0.250 0.625 0.875
13 Ag 0.125 0.375 0.250
14 Ag 0.000 0.500 0.000
15 Ag 0.000 0.000 0.000
16 Ag 0.375 0.250 0.125
17 Ag 0.500 0.000 0.500
18 Ag 0.500 0.500 0.000
19 Ag 0.125 0.750 0.375
20 Ag 0.750 0.125 0.875
21 Ag 0.750 0.625 0.375
22 Ag 0.375 0.125 0.750
23 Ag 0.625 0.875 0.250
24 Ag 0.500 0.500 0.500
25 Ag 0.500 0.000 0.000
26 Ag 0.000 0.000 0.500
27 Ag 0.250 0.375 0.625
28 Ag 0.250 0.875 0.125
29 Ag 0.000 0.500 0.500
30 Ag 0.875 0.250 0.625
31 Ag 0.625 0.750 0.875
32 Ag 0.875 0.625 0.750
33 H 0.729 0.146 0.056
34 H 0.327 0.556 0.410
35 H 0.944 0.354 0.271
36 H 0.556 0.229 0.146
37 H 0.583 0.729 0.673
38 H 0.944 0.590 0.173
39 H 0.327 0.771 0.417
40 H 0.090 0.917 0.146
41 H 0.590 0.944 0.673
42 H 0.729 0.583 0.173
43 H 0.771 0.444 0.354
44 H 0.827 0.910 0.056
45 H 0.146 0.729 0.556
46 H 0.354 0.410 0.083
47 H 0.083 0.910 0.354
48 H 0.417 0.146 0.590
49 H 0.083 0.173 0.229
50 H 0.444 0.673 0.090
51 H 0.827 0.917 0.271
52 H 0.146 0.417 0.090
53 H 0.354 0.944 0.771
54 H 0.590 0.646 0.417
55 H 0.910 0.827 0.556
56 H 0.771 0.327 0.917
57 H 0.410 0.354 0.583
58 H 0.090 0.173 0.444
59 H 0.229 0.673 0.083
60 H 0.173 0.083 0.729
61 H 0.646 0.056 0.229
62 H 0.854 0.583 0.910
63 H 0.556 0.327 0.910
64 H 0.583 0.854 0.410
65 H 0.917 0.827 0.771
66 H 0.917 0.090 0.646
67 H 0.854 0.271 0.444
68 H 0.173 0.090 0.944
69 H 0.646 0.590 0.917
70 H 0.410 0.056 0.327
71 H 0.271 0.417 0.827
72 H 0.229 0.556 0.646
73 H 0.910 0.083 0.854
74 H 0.673 0.229 0.583
75 H 0.444 0.771 0.854
76 H 0.056 0.410 0.827
77 H 0.417 0.271 0.327
78 H 0.056 0.646 0.729
79 H 0.673 0.444 0.590
80 H 0.271 0.854 0.944